VASP calculation (PBE-GGA) on a geometry-optimized Nd12Sm7Th structure.

Unit cell a=10.065 b=10.065 c=10.065 alpha=109.47 beta=109.47 gamma=109.47
Fractional positions:
1 Nd 0.000 0.242 0.758
2 Nd 0.000 0.758 0.242
3 Nd 0.242 0.000 0.758
4 Nd 0.242 0.242 0.484
5 Nd 0.242 0.484 0.242
6 Nd 0.242 0.758 0.000
7 Nd 0.484 0.242 0.242
8 Nd 0.516 0.758 0.758
9 Nd 0.758 0.000 0.242
10 Nd 0.758 0.242 0.000
11 Nd 0.758 0.516 0.758
12 Nd 0.758 0.758 0.516
13 Sm 0.000 0.000 0.500
14 Sm 0.000 0.500 0.000
15 Sm 0.000 0.500 0.500
16 Sm 0.500 0.000 0.000
17 Sm 0.500 0.000 0.500
18 Sm 0.500 0.500 0.000
19 Sm 0.500 0.500 0.500
20 Th 0.000 0.000 0.000

## Properties
The density of states at the Fermi level is 29.99 states/eV/cell. The value obtained for the raw total energy is -4.23 eV/atom. As for the energy above the most stable polymorph in this dataset: 567.6 meV per atom.

---

VASP calculation (PBE-GGA) on a geometry-optimized NaHgSe2O8 structure.

Unit cell a=8.352 b=8.352 c=8.352 alpha=36.11 beta=36.11 gamma=36.11
Fractional positions:
1 Na 0.000 0.000 0.000
2 Hg 0.500 0.500 0.500
3 Se 0.251 0.251 0.251
4 Se 0.749 0.749 0.749
5 O 0.071 0.454 0.792
6 O 0.208 0.929 0.546
7 O 0.322 0.322 0.322
8 O 0.454 0.792 0.071
9 O 0.546 0.208 0.929
10 O 0.678 0.678 0.678
11 O 0.792 0.071 0.454
12 O 0.929 0.546 0.208

## Properties
The density of states at the Fermi level is 7.65 states/eV/cell. The value obtained for the raw total energy is -4.63 eV/atom. The value obtained for the formation energy from raw total energies is -607 meV per atom.

---

VASP calculation (PBE-GGA) on a geometry-optimized CuPd3Se structure.

Unit cell a=4.600 b=4.600 c=4.600 alpha=90.00 beta=90.00 gamma=90.00
Fractional positions:
1 Cu 0.000 0.000 0.000
2 Pd 0.000 0.000 0.500
3 Pd 0.000 0.500 0.000
4 Pd 0.500 0.000 0.000
5 Se 0.500 0.500 0.500

## Properties
The density of states at the Fermi level is 6.18 states/eV/cell. The value obtained for the raw total energy is -3.92 eV/atom. The value obtained for the formation energy from raw total energies is 713 meV per atom. As for the energy above the most stable polymorph in this dataset: 796.1 meV per atom.

---

VASP calculation (PBE-GGA) on a geometry-optimized Be3C structure.

Unit cell a=2.709 b=2.709 c=3.939 alpha=90.00 beta=90.00 gamma=90.00
Fractional positions:
1 Be 0.000 0.000 0.000
2 Be 0.500 0.500 0.266
3 Be 0.500 0.500 0.734
4 C 0.000 0.000 0.500

## Properties
The density of states at the Fermi level is 1.01 states/eV/cell. The value obtained for the raw total energy is -4.44 eV/atom. As for the energy above the most stable polymorph in this dataset: 452.7 meV per atom.

---

VASP calculation (PBE-GGA) on a geometry-optimized SbW5 structure.

Unit cell a=5.309 b=5.309 c=5.309 alpha=60.00 beta=60.00 gamma=60.00
Fractional positions:
1 Sb 0.000 0.000 0.000
2 W 0.125 0.625 0.625
3 W 0.250 0.250 0.250
4 W 0.625 0.125 0.625
5 W 0.625 0.625 0.125
6 W 0.625 0.625 0.625

## Properties
The density of states at the Fermi level is 5.89 states/eV/cell. The value obtained for the raw total energy is -10.84 eV/atom. The value obtained for the formation energy from raw total energies is 643 meV per atom. As for the energy above the most stable polymorph in this dataset: 347.8 meV per atom.

---

VASP calculation (PBE-GGA) on a geometry-optimized Sm8DyPb6 structure.

Unit cell a=8.558 b=8.558 c=8.558 alpha=66.08 beta=66.08 gamma=66.08
Fractional positions:
1 Sm 0.061 0.732 0.397
2 Sm 0.166 0.166 0.166
3 Sm 0.268 0.603 0.939
4 Sm 0.397 0.061 0.732
5 Sm 0.603 0.939 0.268
6 Sm 0.732 0.397 0.061
7 Sm 0.834 0.834 0.834
8 Sm 0.939 0.268 0.603
9 Dy 0.500 0.500 0.500
10 Pb 0.101 0.431 0.762
11 Pb 0.238 0.899 0.569
12 Pb 0.431 0.762 0.101
13 Pb 0.569 0.238 0.899
14 Pb 0.762 0.101 0.431
15 Pb 0.899 0.569 0.238

## Properties
The density of states at the Fermi level is 11.02 states/eV/cell. The value obtained for the raw total energy is -4.69 eV/atom.